Record 1
MgInBiBr2 | PBE-GGA | optimized geometry

Structure (POSCAR):
```
MgInBiBr2
1.0
-2.1004 0.6621 -5.0074
-4.4765 -4.1850 1.3244
-3.2026 4.0190 1.8748
Br Mg In Bi
2 1 1 1
Cartesian
-1.6013 2.0095 0.9374
-1.0502 0.3310 -2.5037
-4.8898 0.2480 -0.9041
0.0000 0.0000 0.0000
-2.2383 -2.0925 0.6622
```

Properties
- volume (Å³ per cell) = 188
- density of states at the Fermi level (states/eV/atom) = 0.715
- energy relative to the elements, uncorrected (eV/atom) = -0.065

Record 2
Cu2Rh3 | PBE-GGA | optimized geometry

Structure (POSCAR):
```
Cu2Rh3
1.0
2.0495 -3.5499 0.0000
2.0495 3.5499 0.0000
0.0000 0.0000 5.0611
Rh Cu
3 2
Cartesian
0.0000 0.0000 0.0000
2.0495 1.1833 1.8146
2.0495 -1.1833 3.2466
2.0495 1.1833 4.2965
2.0495 -1.1833 0.7646
```

Properties
- volume (Å³ per cell) = 74
- energy relative to the elements (kJ per mole of atoms) = 42
- density of states at the Fermi level (states/eV/atom) = 1.543
- energy relative to the lowest polymorph listed for this composition (eV/atom) = 0.3590